Record 1
VASP calculation (GGA-PBE) on a relaxed CrNiHgPd2 crystal.

The calculation puts the total magnetic moment at 3.189 μB/f.u. As for the formation energy: 0.8352 eV/atom. The value obtained for the calculated total energy is -21.9 eV/cell. The density of states at the Fermi level is 1.13 states/eV/atom.

The space group is P4/mmm (No. 123) and the conventional cell measures 4.700, 4.700 and 4.316 Å, with angles of 90.00, 90.00 and 90.00 degrees. The asymmetric unit holds Cr at (0.000, 0.000, 0.000), Ni at (0.000, 0.000, 0.500), Hg at (0.500, 0.500, 0.500) and Pd at (0.000, 0.500, 0.000).


Record 2
VASP calculation (GGA-PBE) on a relaxed CrRe2NiHg crystal.

The calculation puts the total magnetic moment at 0.261 μB/f.u. As for the formation energy: 1.6342 eV/atom. The value obtained for the calculated total energy is -32.4 eV/cell. The density of states at the Fermi level is 1.55 states/eV/atom.

The space group is P4/mmm (No. 123) and the conventional cell measures 4.481, 4.481 and 4.272 Å, with angles of 90.00, 90.00 and 90.00 degrees. The asymmetric unit holds Cr at (0.000, 0.000, 0.000), Re at (0.000, 0.500, 0.500), Ni at (0.000, 0.000, 0.500) and Hg at (0.500, 0.500, 0.000).


Record 3
VASP calculation (GGA-PBE) on a relaxed CrNi2HgRu crystal.

The calculation puts the total magnetic moment at 0.404 μB/f.u. As for the formation energy: 2.2296 eV/atom. The value obtained for the calculated total energy is -19.6 eV/cell. The density of states at the Fermi level is 2.27 states/eV/atom.

The space group is P4/mmm (No. 123) and the conventional cell measures 4.558, 4.558 and 4.736 Å, with angles of 90.00, 90.00 and 90.00 degrees. The asymmetric unit holds Cr at (0.000, 0.000, 0.000), Ni at (0.000, 0.500, 0.500), Hg at (0.000, 0.000, 0.500) and Ru at (0.500, 0.500, 0.000).


Record 4
VASP calculation (GGA-PBE) on a relaxed ScCrNiHg2 crystal.

As for the energy above the most stable polymorph in this dataset: 0.2973 eV per atom. The calculation puts the total magnetic moment at 1.861 μB/f.u. As for the formation energy: 0.9690 eV/atom. The value obtained for the calculated total energy is -17.5 eV/cell. The density of states at the Fermi level is 1.45 states/eV/atom.

The space group is P4/mmm (No. 123) and the conventional cell measures 5.080, 5.080 and 4.596 Å, with angles of 90.00, 90.00 and 90.00 degrees. The asymmetric unit holds Sc at (0.000, 0.000, 0.000), Cr at (0.000, 0.000, 0.500), Ni at (0.500, 0.500, 0.000) and Hg at (0.000, 0.500, 0.500).


Record 5
VASP calculation (GGA-PBE) on a relaxed ScCrNiHg2 crystal.

As for the energy above the most stable polymorph in this dataset: 0.0000 eV per atom. The calculation puts the total magnetic moment at 0.001 μB/f.u. As for the formation energy: 0.6717 eV/atom. The value obtained for the calculated total energy is -19.0 eV/cell. The density of states at the Fermi level is 0.99 states/eV/atom.

The space group is P4/mmm (No. 123) and the conventional cell measures 5.036, 5.036 and 4.210 Å, with angles of 90.00, 90.00 and 90.00 degrees. The asymmetric unit holds Sc at (0.000, 0.000, 0.000), Cr at (0.500, 0.500, 0.500), Ni at (0.500, 0.500, 0.000) and Hg at (0.000, 0.500, 0.500).


Record 6
VASP calculation (GGA-PBE) on a relaxed Cr2TcNiHg crystal.

The calculation puts the total magnetic moment at 4.450 μB/f.u. As for the formation energy: 1.1552 eV/atom. The value obtained for the calculated total energy is -29.9 eV/cell. The density of states at the Fermi level is 0.78 states/eV/atom.

The space group is P4/mmm (No. 123) and the conventional cell measures 4.584, 4.584 and 4.609 Å, with angles of 90.00, 90.00 and 90.00 degrees. The asymmetric unit holds Cr at (0.000, 0.500, 0.000), Tc at (0.000, 0.000, 0.000), Ni at (0.000, 0.000, 0.500) and Hg at (0.500, 0.500, 0.500).


Record 7
VASP calculation (GGA-PBE) on a relaxed CrNiHgTe3 crystal.

The calculation puts the total magnetic moment at 1.398 μB/f.u. The value obtained for the calculated total energy is -51.9 eV/cell. The density of states at the Fermi level is 0.40 states/eV/atom.

The space group is P2_1/m (No. 11) and the conventional cell measures 9.340, 3.729 and 10.020 Å, with angles of 90.00, 114.93 and 90.00 degrees. The asymmetric unit holds Cr at (0.028, 0.250, 0.319), Ni at (0.015, 0.750, 0.099), Hg at (0.491, 0.750, 0.754), Te at (0.150, 0.250, 0.622), Te at (0.187, 0.750, 0.957) and Te at (0.241, 0.750, 0.346).


Which formula does entry 7 have?
CrNiHgTe3